Below is a relaxed structure of RbMn2BiO8, with properties calculated at the PBE+U level.

As for the electronic total energy: -70.99 eV per cell. The value obtained for the total magnetization is 2.0 μB per formula unit. Its crystal system is trigonal. The calculation puts the volume at 215.8 Å³/cell.

It has space group P-3 (No. 147), with a = 5.3916 Å, b = 5.3916 Å, c = 8.5726 Å, α = 90.00°, β = 90.00° and γ = 120.00°. Symmetry generates all atoms from Rb at (0.0000, 0.0000, 0.0000), Mn at (0.3333, 0.6667, 0.7356), Bi at (0.0000, 0.0000, 0.5000), O at (0.0543, 0.3584, 0.6686) and O at (0.3333, 0.6667, 0.9255).